Record 1
Compound: LaPtCl
Source: Alexandria via LeMat-Bulk
Functional: PBE
Structure: relaxed

Values from the calculation:
**Offset from the most stable computed form**: 0.327 eV/atom
**Formation energy (no corrections)**: -388.3 kJ/mol of formula units
**Calculated volume**: 32.11 Å³ per atom

Lattice parameters (Å, degrees): 4.1983 4.1983 6.3108 90.00 90.00 120.00
Space group P3m1 (No. 156)
Inequivalent atoms, fractional coordinates:
La 0.0000 0.0000 0.0000 (multiplicity 1)
Pt 0.6667 0.3333 0.2361 (multiplicity 1)
Cl 0.3333 0.6667 0.7239 (multiplicity 1)

Record 2
Compound: Nb2HgB
Source: Alexandria via LeMat-Bulk
Functional: PBE
Structure: relaxed

Values from the calculation:
**Offset from the most stable computed form**: 0.012 eV/atom
**Calculated volume**: 15.88 Å³ per atom
**Energy of formation from the pure elements**: -254 meV per atom

Lattice parameters (Å, degrees): 4.800 3.185 8.400 90.00 98.46 90.00
Space group P2_1/m (No. 11)
Inequivalent atoms, fractional coordinates:
Nb 0.154 0.250 0.122 (multiplicity 2)
Nb 0.316 0.250 0.769 (multiplicity 2)
Hg 0.234 0.750 0.441 (multiplicity 2)
B 0.397 0.750 0.978 (multiplicity 2)

Record 3
Compound: Os2Se2F
Source: Alexandria via LeMat-Bulk
Functional: PBE
Structure: relaxed

Values from the calculation:
**Offset from the most stable computed form**: 0.000 eV/atom
**Formation energy (no corrections)**: 7.5 kJ/mol of formula units
**Calculated volume**: 17.14 Å³ per atom

Lattice parameters (Å, degrees): 4.884 4.884 7.186 90.00 90.00 90.00
Space group I4/mmm (No. 139)
Inequivalent atoms, fractional coordinates:
Os 0.000 0.000 0.161 (multiplicity 4)
Se 0.000 0.500 0.250 (multiplicity 4)
F 0.000 0.000 0.500 (multiplicity 2)

Record 4
Compound: Tb5YCu6
Source: Alexandria via LeMat-Bulk
Functional: PBE
Structure: relaxed

Values from the calculation:
**Calculated volume**: 21.15 Å³ per atom
**Energy of formation from the pure elements**: -242 meV per atom

Lattice parameters (Å, degrees): 4.949 6.909 7.817 90.00 108.27 90.00
Space group P2/m (No. 10)
Inequivalent atoms, fractional coordinates:
Tb 0.000 0.000 0.000 (multiplicity 1)
Tb 0.333 0.500 0.667 (multiplicity 2)
Tb 0.334 0.000 0.667 (multiplicity 2)
Y 0.000 0.500 0.000 (multiplicity 1)
Cu 0.167 0.250 0.334 (multiplicity 4)
Cu 0.500 0.250 0.000 (multiplicity 2)

Record 5
Compound: K2In4SbAu3
Source: Alexandria via LeMat-Bulk
Functional: PBE
Structure: relaxed

Values from the calculation:
**Formation energy (no corrections)**: -264.4 kJ/mol of formula units
**Calculated volume**: 28.36 Å³ per atom

Lattice parameters (Å, degrees): 5.022 5.022 11.245 90.00 90.00 90.00
Space group P-4m2 (No. 115)
Inequivalent atoms, fractional coordinates:
K 0.000 0.500 0.247 (multiplicity 2)
In 0.000 0.000 0.500 (multiplicity 1)
In 0.000 0.500 0.862 (multiplicity 2)
In 0.500 0.500 0.500 (multiplicity 1)
Sb 0.500 0.500 0.000 (multiplicity 1)
Au 0.000 0.000 0.000 (multiplicity 1)
Au 0.000 0.500 0.618 (multiplicity 2)

Record 6
Compound: Ba2CaTiCu
Source: Alexandria via LeMat-Bulk
Functional: PBE
Structure: relaxed

Values from the calculation:
**Calculated volume**: 44.08 Å³ per atom
**Energy of formation from the pure elements**: 896 meV per atom

Lattice parameters (Å, degrees): 6.144 6.144 5.838 90.00 90.00 90.00
Space group P4/mmm (No. 123)
Inequivalent atoms, fractional coordinates:
Ba 0.000 0.500 0.000 (multiplicity 2)
Ca 0.000 0.000 0.500 (multiplicity 1)
Ti 0.000 0.000 0.000 (multiplicity 1)
Cu 0.500 0.500 0.500 (multiplicity 1)

Record 7
Compound: Cs3PuSc2Te6
Source: Alexandria via LeMat-Bulk
Functional: PBE
Structure: relaxed

Values from the calculation:
**Formation energy (no corrections)**: -1362.2 kJ/mol of formula units
**Calculated volume**: 38.26 Å³ per atom

Lattice parameters (Å, degrees): 7.746 13.415 9.207 90.00 106.31 90.00
Space group C2/m (No. 12)
Inequivalent atoms, fractional coordinates:
Cs 0.000 0.000 0.000 (multiplicity 2)
Cs 0.000 0.337 0.000 (multiplicity 4)
Pu 0.000 0.500 0.500 (multiplicity 2)
Sc 0.000 0.167 0.500 (multiplicity 4)
Te 0.212 0.000 0.682 (multiplicity 4)
Te 0.235 0.326 0.683 (multiplicity 8)

Record 8
Compound: CuHg2Br
Source: Alexandria via LeMat-Bulk
Functional: PBE
Structure: relaxed

Values from the calculation:
**Offset from the most stable computed form**: 0.083 eV/atom
**Formation energy (no corrections)**: -3.5 kJ/mol of formula units
**Calculated volume**: 28.61 Å³ per atom

Lattice parameters (Å, degrees): 3.645 6.753 9.301 90.00 90.00 90.00
Space group Imm2 (No. 44)
Inequivalent atoms, fractional coordinates:
Cu 0.000 0.000 0.000 (multiplicity 2)
Hg 0.000 0.000 0.496 (multiplicity 2)
Hg 0.000 0.500 0.717 (multiplicity 2)
Br 0.000 0.500 0.329 (multiplicity 2)

Record 9
Compound: Ca3PrAu4
Source: Alexandria via LeMat-Bulk
Functional: PBE
Structure: relaxed

Values from the calculation:
**Calculated volume**: 24.52 Å³ per atom
**Energy of formation from the pure elements**: -782 meV per atom

Lattice parameters (Å, degrees): 7.321 7.321 7.321 90.00 90.00 90.00
Space group Im-3m (No. 229)
Inequivalent atoms, fractional coordinates:
Ca 0.000 0.000 0.500 (multiplicity 6)
Pr 0.000 0.000 0.000 (multiplicity 2)
Au 0.250 0.250 0.250 (multiplicity 8)

Record 10
Compound: KCuHgS2
Source: Alexandria via LeMat-Bulk
Functional: PBE
Structure: relaxed

Values from the calculation:
**Formation energy (no corrections)**: -248.2 kJ/mol of formula units
**Calculated volume**: 26.17 Å³ per atom

Lattice parameters (Å, degrees): 7.062 5.148 7.418 90.00 103.91 90.00
Space group P2/c (No. 13)
Inequivalent atoms, fractional coordinates:
K 0.000 0.222 0.250 (multiplicity 2)
Cu 0.500 0.000 0.000 (multiplicity 2)
Hg 0.500 0.482 0.750 (multiplicity 2)
S 0.271 0.283 0.952 (multiplicity 4)

Record 11
Compound: Li8In2Ag3
Source: Alexandria via LeMat-Bulk
Functional: PBE
Structure: relaxed

Values from the calculation:
**Offset from the most stable computed form**: 0.076 eV/atom
**Calculated volume**: 19.56 Å³ per atom
**Energy of formation from the pure elements**: -100 meV per atom

Lattice parameters (Å, degrees): 12.299 7.413 5.659 90.00 99.67 90.00
Space group C2/m (No. 12)
Inequivalent atoms, fractional coordinates:
Li 0.101 0.000 0.410 (multiplicity 4)
Li 0.112 0.184 0.949 (multiplicity 8)
Li 0.191 0.500 0.298 (multiplicity 4)
In 0.199 0.500 0.788 (multiplicity 4)
Ag 0.000 0.312 0.500 (multiplicity 4)
Ag 0.000 0.500 0.000 (multiplicity 2)

Record 12
Compound: Dy3Tm3Cd
Source: Alexandria via LeMat-Bulk
Functional: PBE
Structure: relaxed

Values from the calculation:
**Calculated volume**: 29.29 Å³ per atom
**Energy of formation from the pure elements**: -30 meV per atom

Lattice parameters (Å, degrees): 9.271 5.502 9.279 90.00 119.96 90.00
Space group P2_1/m (No. 11)
Inequivalent atoms, fractional coordinates:
Dy 0.064 0.250 0.245 (multiplicity 2)
Dy 0.181 0.250 0.936 (multiplicity 2)
Dy 0.245 0.750 0.181 (multiplicity 2)
Tm 0.107 0.750 0.481 (multiplicity 2)
Tm 0.374 0.750 0.892 (multiplicity 2)
Tm 0.481 0.250 0.374 (multiplicity 2)
Cd 0.333 0.250 0.666 (multiplicity 2)